Material: KAsPtPb2
Method: DFT, PBE
State: relaxed

The structure in POSCAR format:
```
KAsPtPb2
1.0
5.514 0.000 0.000
0.000 5.514 0.000
0.000 0.000 5.834
K As Pt Pb
1 1 1 2
Cartesian
0.000 0.000 0.000
0.000 0.000 2.917
2.757 2.757 0.000
0.000 2.757 2.917
2.757 0.000 2.917
```

Computed properties:
As for the total energy: -3.26 eV/atom. The calculated formation energy is 280 kJ/mol of formula units. As for the calculated volume: 35.5 Å³ per atom.